# 1
! GGA-PBE SrFe2Pt, optimized geometry; values from VASP
&SYSTEM
  ibrav = 0, nat = 4, ntyp = 3
/
ATOMIC_SPECIES
Fe 55.84 Fe.upf
Pt 195.08 Pt.upf
Sr 87.62 Sr.upf
ATOMIC_POSITIONS angstrom
Fe 0.000 0.000 0.597
Fe 0.000 0.000 2.784
Pt 1.713 1.713 1.691
Sr 1.713 1.713 5.072
CELL_PARAMETERS angstrom
3.426 0.001 0.000
0.000 3.426 0.000
0.000 0.000 6.762
! Space-group type: P4/mmm (123)
! DFT total energy in eV per atom: -5.888

***

# 2
! GGA-PBE SrFe2Pt, optimized geometry; values from VASP
&SYSTEM
  ibrav = 0, nat = 4, ntyp = 3
/
ATOMIC_SPECIES
Fe 55.84 Fe.upf
Pt 195.08 Pt.upf
Sr 87.62 Sr.upf
ATOMIC_POSITIONS angstrom
Fe -1.454 -7.047 2.074
Fe -0.011 -2.290 1.737
Pt -0.531 -4.644 2.352
Sr -0.186 -6.892 4.877
CELL_PARAMETERS angstrom
-2.802 -2.920 1.422
0.959 -4.176 -0.209
1.619 -2.089 5.339
! Space-group type: Cm (8)
! DFT total energy in eV per atom: -6.217

***

# 3
! GGA-PBE Sr2FePt, optimized geometry; values from VASP
&SYSTEM
  ibrav = 0, nat = 4, ntyp = 3
/
ATOMIC_SPECIES
Fe 55.84 Fe.upf
Pt 195.08 Pt.upf
Sr 87.62 Sr.upf
ATOMIC_POSITIONS angstrom
Fe -2.811 -1.626 0.002
Pt -4.362 -3.383 2.994
Sr -3.047 -3.450 5.878
Sr -1.607 -1.819 3.099
CELL_PARAMETERS angstrom
-3.315 1.464 -0.859
-0.756 -2.960 -2.129
-3.102 -3.513 5.985
! Space-group type: P4/mmm (123)
! DFT total energy in eV per atom: -4.424

***

# 4
! GGA-PBE SrFe3Pt, optimized geometry; values from VASP
&SYSTEM
  ibrav = 0, nat = 5, ntyp = 3
/
ATOMIC_SPECIES
Sr 87.62 Sr.upf
Fe 55.84 Fe.upf
Pt 195.08 Pt.upf
ATOMIC_POSITIONS angstrom
Sr 2.407 2.407 2.407
Fe 0.000 2.407 0.000
Fe 0.000 0.000 2.407
Fe 2.407 0.000 0.000
Pt 0.000 0.000 0.000
CELL_PARAMETERS angstrom
4.814 0.000 0.000
0.000 4.814 0.000
0.000 0.000 4.814
! Space-group type: Pm-3m (221)
! DFT total energy in eV per atom: -6.031

***

# 5
! GGA-PBE SrFe2Pt, optimized geometry; values from VASP
&SYSTEM
  ibrav = 0, nat = 4, ntyp = 3
/
ATOMIC_SPECIES
Fe 55.84 Fe.upf
Pt 195.08 Pt.upf
Sr 87.62 Sr.upf
ATOMIC_POSITIONS angstrom
Fe -0.207 -0.002 -0.241
Fe -9.146 -0.069 -10.687
Pt -14.029 -0.106 -16.393
Sr -4.676 -0.035 -5.464
CELL_PARAMETERS angstrom
-5.162 0.858 -8.210
-6.172 -1.726 -7.329
-7.371 0.726 -6.318
! Space-group type: R-3m (166)
! DFT total energy in eV per atom: -5.428

***

# 6
! GGA-PBE SrFe2Pt, optimized geometry; values from VASP
&SYSTEM
  ibrav = 0, nat = 4, ntyp = 3
/
ATOMIC_SPECIES
Fe 55.84 Fe.upf
Pt 195.08 Pt.upf
Sr 87.62 Sr.upf
ATOMIC_POSITIONS angstrom
Fe 0.000 0.000 0.000
Fe 1.709 2.362 0.000
Pt 2.499 -0.009 1.464
Sr -0.790 2.371 1.464
CELL_PARAMETERS angstrom
4.999 -0.018 0.000
-1.580 4.742 0.000
0.000 0.000 2.928
! Space-group type: Cmmm (65)
! DFT total energy in eV per atom: -5.600